# 1
# KRbPO2

A relaxed structure of KRbPO2 (GGA-PBE, the Alexandria database).

```
KRbPO2
1.0
5.2258 0.0000 0.0000
0.0000 5.2258 0.0000
0.0000 0.0000 6.0904
P Rb K O
1 1 1 2
direct
0.0000 0.0000 0.5000
0.5000 0.5000 0.5000
0.0000 0.0000 0.0000
0.0000 0.5000 0.0000
0.5000 0.0000 0.0000
```

Computed properties:
Energy relative to the lowest polymorph listed for this composition: 0.000 eV per atom
Formation energy without anion corrections: 221.4 kJ/mol of formula units



# 2
# Li2LaNdHg2

A relaxed structure of Li2LaNdHg2 (GGA-PBE, the Alexandria database).

```
Li2LaNdHg2
1.0
-4.6977 -1.0809 -1.3292
3.8322 -1.9535 -2.5499
0.0504 -5.3918 4.2064
La Hg Li Nd
1 2 2 1
direct
0.0000 0.0000 0.0000
0.3333 0.6667 0.2622
0.6667 0.3333 0.7378
0.3333 0.6667 0.7350
0.6667 0.3333 0.2650
0.0000 0.0000 0.5000
```

Computed properties:
DFT formation energy: -0.35 eV/atom